PBE-GGA CuNi3H, relaxed; theoretical density = 4934 kg/m3; crystal system = cubic; SG = No. 221; DFT total energy = -0.2459 Ry per atom
1.0
4.326 0.000 0.000
0.000 4.326 0.000
0.000 0.000 4.326
Cu Ni H
1 3 1
direct
0.000 0.000 0.000 Cu
0.000 0.000 0.500 Ni
0.000 0.500 0.000 Ni
0.500 0.000 0.000 Ni
0.500 0.500 0.500 H